A.
DFT (PBE) results for Mg2GaWAu after structural relaxation.

Cell and atoms, written as CIF:
```
data_Mg2GaWAu
_cell_length_a 4.895
_cell_length_b 4.895
_cell_length_c 4.736
_cell_angle_alpha 90.00
_cell_angle_beta 90.00
_cell_angle_gamma 90.00
_symmetry_space_group_name_H-M 'P 4/m m m'
_symmetry_Int_Tables_number 123
_symmetry_space_group_name_Hall '-P 4 2'
loop_
_atom_site_label
_atom_site_type_symbol
_atom_site_fract_x
_atom_site_fract_y
_atom_site_fract_z
Mg1 Mg 0.000 0.500 0.000
Ga1 Ga 0.000 0.000 0.000
W1 W 0.500 0.500 0.500
Au1 Au 0.000 0.000 0.500
```

---

B.
DFT (PBE) results for Mg2GaWAu after structural relaxation.

Cell and atoms, written as CIF:
```
data_Mg2GaWAu
_cell_length_a 4.962
_cell_length_b 4.962
_cell_length_c 4.766
_cell_angle_alpha 90.00
_cell_angle_beta 90.00
_cell_angle_gamma 90.00
_symmetry_space_group_name_H-M 'P 4/m m m'
_symmetry_Int_Tables_number 123
_symmetry_space_group_name_Hall '-P 4 2'
loop_
_atom_site_label
_atom_site_type_symbol
_atom_site_fract_x
_atom_site_fract_y
_atom_site_fract_z
Mg1 Mg 0.000 0.500 0.000
Ga1 Ga 0.000 0.000 0.500
W1 W 0.500 0.500 0.500
Au1 Au 0.000 0.000 0.000
```

---

Here are the energies relative to the best structure, in kJ/mol of atoms: A 23.3; B 0.0.